## Sc2TcOs (PBE)

Data for crystalline Sc2TcOs at its relaxed geometry.

Computed properties:
E_form ... 20.2 meV per atom
SG ... Pmm2, No. 25
Density of states at the Fermi level ... 4.100 states/eV per cell
Magnetization ... 0.0 μB/f.u.

abc: 2.970 4.309 5.395
angles: 90.00 90.00 90.00
Fractional coordinates of all 4 atoms:
Sc (0.500, 0.500, 0.267)
Sc (0.000, 0.000, 0.979)
Tc (0.000, 0.000, 0.510)
Os (0.500, 0.500, 0.744)

## ZrSiRu (PBE)

Data for crystalline ZrSiRu at its relaxed geometry.

Computed properties:
SG ... P-62m, No. 189
Density of states at the Fermi level ... 2.498 states/eV per cell
Energy relative to the elements, uncorrected ... -943.5 meV per atom
Magnetization ... 0.0 μB/f.u.

abc: 6.714 6.714 3.710
angles: 90.00 90.00 120.00
Fractional coordinates of all 9 atoms:
Ru (0.756, 0.756, 0.000)
Ru (0.244, 0.000, 0.000)
Ru (0.000, 0.244, 0.000)
Zr (0.000, 0.585, 0.500)
Zr (0.415, 0.415, 0.500)
Zr (0.585, 0.000, 0.500)
Si (0.000, 0.000, 0.500)
Si (0.667, 0.333, 0.000)
Si (0.333, 0.667, 0.000)

## KNi2Pt (PBE)

Data for crystalline KNi2Pt at its relaxed geometry.

Computed properties:
E_form ... 361.1 meV per atom
Energy relative to the lowest polymorph listed for this composition ... 18 kJ/mol of formula units
SG ... Pm, No. 6
Density of states at the Fermi level ... 5.564 states/eV per cell
Magnetization ... 1.5 μB/f.u.

abc: 4.059 2.727 7.106
angles: 78.49 90.00 90.00
Fractional coordinates of all 4 atoms:
Ni (0.500, 0.051, 0.277)
Ni (0.000, 0.152, 0.084)
K (0.500, 0.806, 0.748)
Pt (0.000, 0.491, 0.391)

## La6Y3Ho (PBE)

Data for crystalline La6Y3Ho at its relaxed geometry.

Computed properties:
E_form ... 233.3 meV per atom
SG ... R-3m, No. 166
Density of states at the Fermi level ... 32.107 states/eV per cell
Magnetization ... 0.0 μB/f.u.

abc: 9.105 9.105 9.105
angles: 80.04 80.04 80.04
Fractional coordinates of all 20 atoms:
Y (0.104, 0.632, 0.104)
Y (0.632, 0.104, 0.104)
Y (0.896, 0.896, 0.368)
Y (0.896, 0.368, 0.896)
Y (0.104, 0.104, 0.632)
Y (0.368, 0.896, 0.896)
La (0.289, 0.289, 0.905)
La (0.168, 0.463, 0.463)
La (0.095, 0.711, 0.711)
La (0.289, 0.905, 0.289)
La (0.537, 0.832, 0.537)
La (0.711, 0.095, 0.711)
La (0.711, 0.711, 0.095)
La (0.537, 0.537, 0.832)
La (0.463, 0.168, 0.463)
La (0.832, 0.537, 0.537)
La (0.905, 0.289, 0.289)
La (0.463, 0.463, 0.168)
Ho (0.500, 0.500, 0.500)
Ho (0.000, 0.000, 0.000)

## Cs2ZnAg2 (PBE)

Data for crystalline Cs2ZnAg2 at its relaxed geometry.

Computed properties:
E_form ... 179.6 meV per atom
Energy relative to the lowest polymorph listed for this composition ... 88 kJ/mol of formula units
SG ... P4/mbm, No. 127
Density of states at the Fermi level ... 3.381 states/eV per cell
Magnetization ... 0.0 μB/f.u.

abc: 7.976 7.976 5.670
angles: 90.00 90.00 90.00
Fractional coordinates of all 10 atoms:
Cs (0.178, 0.678, 0.500)
Cs (0.822, 0.322, 0.500)
Cs (0.678, 0.822, 0.500)
Cs (0.322, 0.178, 0.500)
Zn (0.500, 0.500, 0.000)
Zn (0.000, 0.000, 0.000)
Ag (0.872, 0.628, 0.000)
Ag (0.628, 0.128, 0.000)
Ag (0.372, 0.872, 0.000)
Ag (0.128, 0.372, 0.000)

## Li2Mn (PBE)

Data for crystalline Li2Mn at its relaxed geometry.

Computed properties:
E_form ... 789.8 meV per atom
SG ... Pa-3, No. 205
Density of states at the Fermi level ... 10.953 states/eV per cell
Magnetization ... 4.3 μB/f.u.

abc: 6.253 6.253 6.253
angles: 90.00 90.00 90.00
Fractional coordinates of all 12 atoms:
Li (0.627, 0.627, 0.373)
Li (0.373, 0.127, 0.127)
Li (0.873, 0.127, 0.373)
Li (0.127, 0.627, 0.127)
Li (0.373, 0.373, 0.627)
Li (0.127, 0.873, 0.627)
Li (0.873, 0.373, 0.873)
Li (0.627, 0.873, 0.873)
Mn (0.000, 0.500, 0.500)
Mn (0.500, 0.500, 0.000)
Mn (0.500, 0.000, 0.500)
Mn (0.000, 0.000, 0.000)

## HgPbSe2 (PBE)

Data for crystalline HgPbSe2 at its relaxed geometry.

Computed properties:
Energy relative to the lowest polymorph listed for this composition ... 95 kJ/mol of formula units
SG ... Fm-3m, No. 225
Density of states at the Fermi level ... 2.031 states/eV per cell
Energy relative to the elements, uncorrected ... -56.3 meV per atom
Magnetization ... 0.0 μB/f.u.

abc: 5.208 5.208 5.208
angles: 60.00 60.00 60.00
Fractional coordinates of all 4 atoms:
Pb (0.500, 0.500, 0.500)
Se (0.250, 0.250, 0.250)
Se (0.750, 0.750, 0.750)
Hg (0.000, 0.000, 0.000)

## Pr4Ni2Ag (PBE)

Data for crystalline Pr4Ni2Ag at its relaxed geometry.

Computed properties:
E_form ... -111.8 meV per atom
Energy relative to the lowest polymorph listed for this composition ... 28 kJ/mol of formula units
SG ... R-3m, No. 166
Density of states at the Fermi level ... 7.524 states/eV per cell
Magnetization ... 0.0 μB/f.u.

abc: 4.796 4.796 9.883
angles: 75.96 75.96 60.00
Fractional coordinates of all 7 atoms:
Pr (0.615, 0.615, 0.155)
Pr (0.203, 0.203, 0.391)
Pr (0.797, 0.797, 0.609)
Pr (0.385, 0.385, 0.845)
Ag (0.000, 0.000, 0.000)
Ni (0.097, 0.097, 0.710)
Ni (0.903, 0.903, 0.290)

## CeMgZn (PBE)

Data for crystalline CeMgZn at its relaxed geometry.

Computed properties:
E_form ... -5.8 meV per atom
SG ... F-43m, No. 216
Density of states at the Fermi level ... 6.666 states/eV per cell
Magnetization ... 0.5 μB/f.u.

abc: 4.799 4.799 4.799
angles: 60.00 60.00 60.00
Fractional coordinates of all 3 atoms:
Ce (0.000, 0.000, 0.000)
Zn (0.250, 0.250, 0.250)
Mg (0.500, 0.500, 0.500)

## MgBeSn (PBE)

Data for crystalline MgBeSn at its relaxed geometry.

Computed properties:
E_form ... 84.5 meV per atom
SG ... P2_1/m, No. 11
Density of states at the Fermi level ... 2.006 states/eV per cell
Magnetization ... 0.0 μB/f.u.

abc: 4.308 4.008 6.670
angles: 90.00 94.68 90.00
Fractional coordinates of all 6 atoms:
Be (0.645, 0.250, 0.518)
Be (0.355, 0.750, 0.482)
Mg (0.308, 0.250, 0.160)
Mg (0.692, 0.750, 0.840)
Sn (0.178, 0.250, 0.720)
Sn (0.822, 0.750, 0.280)

## LaTbNdSn (PBE)

Data for crystalline LaTbNdSn at its relaxed geometry.

Computed properties:
E_form ... -271.4 meV per atom
SG ... F-43m, No. 216
Density of states at the Fermi level ... 6.427 states/eV per cell
Magnetization ... 0.0 μB/f.u.

abc: 5.582 5.582 5.582
angles: 60.00 60.00 60.00
Fractional coordinates of all 4 atoms:
Sn (0.250, 0.250, 0.250)
La (0.500, 0.500, 0.500)
Tb (0.750, 0.750, 0.750)
Nd (0.000, 0.000, 0.000)

## LiY2ScTe4 (PBE)

Data for crystalline LiY2ScTe4 at its relaxed geometry.

Computed properties:
SG ... P2/m, No. 10
Density of states at the Fermi level ... 3.637 states/eV per cell
Energy relative to the elements, uncorrected ... -1273.0 meV per atom
Magnetization ... 0.0 μB/f.u.

abc: 4.265 7.436 7.389
angles: 109.23 90.00 90.00
Fractional coordinates of all 8 atoms:
Y (0.000, 0.500, 0.500)
Y (0.500, 0.000, 0.500)
Te (0.500, 0.244, 0.234)
Te (0.000, 0.253, 0.766)
Te (0.500, 0.756, 0.766)
Te (0.000, 0.747, 0.234)
Sc (0.500, 0.500, 0.000)
Li (0.000, 0.000, 0.000)

## TbPr2HoTh (PBE)

Data for crystalline TbPr2HoTh at its relaxed geometry.

Computed properties:
E_form ... 246.6 meV per atom
SG ... P2/c, No. 13
Density of states at the Fermi level ... 17.209 states/eV per cell
Magnetization ... 0.0 μB/f.u.

abc: 8.518 6.350 6.621
angles: 77.20 90.00 90.00
Fractional coordinates of all 10 atoms:
Tb (0.665, 0.000, 0.250)
Tb (0.335, 0.000, 0.750)
Pr (0.674, 0.282, 0.658)
Pr (0.326, 0.282, 0.158)
Pr (0.674, 0.718, 0.842)
Pr (0.326, 0.718, 0.342)
Th (0.000, 0.000, 0.500)
Th (0.000, 0.000, 0.000)
Ho (0.914, 0.500, 0.250)
Ho (0.086, 0.500, 0.750)

## Ac2La4SmHo (PBE)

Data for crystalline Ac2La4SmHo at its relaxed geometry.

Computed properties:
E_form ... 34.3 meV per atom
SG ... P2/m, No. 10
Density of states at the Fermi level ... 14.818 states/eV per cell
Magnetization ... 0.0 μB/f.u.

abc: 5.342 5.294 11.913
angles: 63.52 90.00 90.00
Fractional coordinates of all 8 atoms:
Ho (0.000, 0.500, 0.500)
La (0.500, 0.250, 0.750)
La (0.000, 0.753, 0.748)
La (0.000, 0.247, 0.252)
La (0.500, 0.750, 0.250)
Ac (0.500, 0.000, 0.500)
Ac (0.000, 0.000, 0.000)
Sm (0.500, 0.500, 0.000)

## Ba2SnHg6Bi (PBE)

Data for crystalline Ba2SnHg6Bi at its relaxed geometry.

Computed properties:
E_form ... -281.4 meV per atom
SG ... Pmmn, No. 59
Density of states at the Fermi level ... 8.823 states/eV per cell
Magnetization ... 0.0 μB/f.u.

abc: 5.963 11.074 10.211
angles: 90.00 90.00 90.00
Fractional coordinates of all 20 atoms:
Bi (0.000, 0.704, 0.500)
Bi (0.500, 0.296, 0.000)
Hg (0.751, 0.528, 0.000)
Hg (0.500, 0.084, 0.742)
Hg (0.500, 0.084, 0.258)
Hg (0.000, 0.916, 0.758)
Hg (0.749, 0.472, 0.500)
Hg (0.750, 0.973, 0.500)
Hg (0.250, 0.027, 0.000)
Hg (0.000, 0.916, 0.242)
Hg (0.251, 0.472, 0.500)
Hg (0.750, 0.027, 0.000)
Hg (0.249, 0.528, 0.000)
Hg (0.250, 0.973, 0.500)
Ba (0.000, 0.262, 0.758)
Ba (0.500, 0.738, 0.742)
Ba (0.000, 0.262, 0.242)
Ba (0.500, 0.738, 0.258)
Sn (0.500, 0.247, 0.500)
Sn (0.000, 0.753, 0.000)

## BaNiBr2 (PBE)

Data for crystalline BaNiBr2 at its relaxed geometry.

Computed properties:
Energy relative to the lowest polymorph listed for this composition ... 106 kJ/mol of formula units
SG ... P2/m, No. 10
Density of states at the Fermi level ... 2.456 states/eV per cell
Energy relative to the elements, uncorrected ... -765.0 meV per atom
Magnetization ... 0.1 μB/f.u.

abc: 4.007 4.265 6.578
angles: 75.97 90.00 90.00
Fractional coordinates of all 4 atoms:
Ba (0.500, 0.750, 0.750)
Ni (0.500, 0.250, 0.250)
Br (0.000, 0.346, 0.472)
Br (0.000, 0.154, 0.028)

## Ba2NaCaPt (PBE)

Data for crystalline Ba2NaCaPt at its relaxed geometry.

Computed properties:
E_form ... -420.1 meV per atom
Energy relative to the lowest polymorph listed for this composition ... 0 kJ/mol of formula units
SG ... P4/mmm, No. 123
Density of states at the Fermi level ... 2.943 states/eV per cell
Magnetization ... 0.0 μB/f.u.

abc: 6.284 6.284 5.728
angles: 90.00 90.00 90.00
Fractional coordinates of all 5 atoms:
Ba (0.000, 0.500, 0.000)
Ba (0.500, 0.000, 0.000)
Pt (0.000, 0.000, 0.000)
Ca (0.000, 0.000, 0.500)
Na (0.500, 0.500, 0.500)

## NaIn2Ir (PBE)

Data for crystalline NaIn2Ir at its relaxed geometry.

Computed properties:
E_form ... 214.8 meV per atom
SG ... R-3m, No. 166
Density of states at the Fermi level ... 1.524 states/eV per cell
Magnetization ... 0.0 μB/f.u.

abc: 4.046 4.046 9.240
angles: 77.35 77.35 60.00
Fractional coordinates of all 4 atoms:
Na (0.000, 0.000, 0.000)
In (0.883, 0.883, 0.352)
In (0.117, 0.117, 0.648)
Ir (0.500, 0.500, 0.500)

## Tm3CdAg2 (PBE)

Data for crystalline Tm3CdAg2 at its relaxed geometry.

Computed properties:
E_form ... -327.6 meV per atom
SG ... P4/mmm, No. 123
Density of states at the Fermi level ... 3.720 states/eV per cell
Magnetization ... 0.0 μB/f.u.

abc: 3.631 3.631 10.823
angles: 90.00 90.00 90.00
Fractional coordinates of all 6 atoms:
Ag (0.500, 0.500, 0.834)
Ag (0.500, 0.500, 0.166)
Tm (0.000, 0.000, 0.326)
Tm (0.000, 0.000, 0.674)
Tm (0.000, 0.000, 0.000)
Cd (0.500, 0.500, 0.500)

## GaSnBi2 (PBE)

Data for crystalline GaSnBi2 at its relaxed geometry.

Computed properties:
E_form ... 102.0 meV per atom
SG ... P4/mmm, No. 123
Density of states at the Fermi level ... 1.579 states/eV per cell
Magnetization ... 0.0 μB/f.u.

abc: 3.778 3.778 7.799
angles: 90.00 90.00 90.00
Fractional coordinates of all 4 atoms:
Ga (0.500, 0.500, 0.000)
Bi (0.000, 0.000, 0.765)
Bi (0.000, 0.000, 0.235)
Sn (0.500, 0.500, 0.500)

## VCuAu2 (PBE)

Data for crystalline VCuAu2 at its relaxed geometry.

Computed properties:
E_form ... 19.0 meV per atom
SG ... P4/mmm, No. 123
Density of states at the Fermi level ... 3.205 states/eV per cell
Magnetization ... 0.5 μB/f.u.

abc: 2.819 2.819 7.754
angles: 90.00 90.00 90.00
Fractional coordinates of all 4 atoms:
Au (0.000, 0.000, 0.247)
Au (0.000, 0.000, 0.753)
V (0.500, 0.500, 0.500)
Cu (0.500, 0.500, 0.000)

## La4Ga2Rh (PBE)

Data for crystalline La4Ga2Rh at its relaxed geometry.

Computed properties:
E_form ... -458.7 meV per atom
SG ... Cmmm, No. 65
Density of states at the Fermi level ... 7.504 states/eV per cell
Magnetization ... 0.0 μB/f.u.

abc: 5.192 6.408 6.408
angles: 109.12 90.00 90.00
Fractional coordinates of all 7 atoms:
Ga (0.000, 0.762, 0.238)
Ga (0.000, 0.238, 0.762)
Rh (0.500, 0.500, 0.500)
La (0.000, 0.263, 0.263)
La (0.000, 0.737, 0.737)
La (0.500, 0.500, 0.000)
La (0.500, 0.000, 0.500)

## GeHPtRh2 (PBE)

Data for crystalline GeHPtRh2 at its relaxed geometry.

Computed properties:
Energy relative to the lowest polymorph listed for this composition ... 80 kJ/mol of formula units
SG ... P4/mmm, No. 123
Density of states at the Fermi level ... 2.920 states/eV per cell
Magnetization ... 0.0 μB/f.u.

abc: 3.860 3.860 4.144
angles: 90.00 90.00 90.00
Fractional coordinates of all 5 atoms:
Pt (0.500, 0.500, 0.500)
Rh (0.500, 0.000, 0.000)
Rh (0.000, 0.500, 0.000)
Ge (0.000, 0.000, 0.500)
H (0.000, 0.000, 0.000)

## HoTh2Cd (PBE)

Data for crystalline HoTh2Cd at its relaxed geometry.

Computed properties:
E_form ... 199.8 meV per atom
Energy relative to the lowest polymorph listed for this composition ... 86 kJ/mol of formula units
SG ... R-3m, No. 166
Density of states at the Fermi level ... 4.039 states/eV per cell
Magnetization ... 0.0 μB/f.u.

abc: 3.367 3.367 12.508
angles: 82.27 82.27 60.00
Fractional coordinates of all 4 atoms:
Th (0.910, 0.910, 0.271)
Th (0.090, 0.090, 0.729)
Ho (0.000, 0.000, 0.000)
Cd (0.500, 0.500, 0.500)

## Zn3AuSe (PBE)

Data for crystalline Zn3AuSe at its relaxed geometry.

Computed properties:
Energy relative to the lowest polymorph listed for this composition ... 123 kJ/mol of formula units
SG ... Pm-3m, No. 221
Density of states at the Fermi level ... 1.540 states/eV per cell
Energy relative to the elements, uncorrected ... 447.4 meV per atom
Magnetization ... 0.0 μB/f.u.

abc: 4.938 4.938 4.938
angles: 90.00 90.00 90.00
Fractional coordinates of all 5 atoms:
Zn (0.500, 0.000, 0.000)
Zn (0.000, 0.500, 0.000)
Zn (0.000, 0.000, 0.500)
Au (0.500, 0.500, 0.500)
Se (0.000, 0.000, 0.000)

## Cr2NiMo (PBE)

Data for crystalline Cr2NiMo at its relaxed geometry.

Computed properties:
E_form ... 231.1 meV per atom
SG ... Pmmm, No. 47
Density of states at the Fermi level ... 4.482 states/eV per cell
Magnetization ... 0.0 μB/f.u.

abc: 2.467 3.870 5.327
angles: 90.00 90.00 90.00
Fractional coordinates of all 4 atoms:
Cr (0.000, 0.000, 0.970)
Cr (0.000, 0.000, 0.530)
Ni (0.500, 0.500, 0.750)
Mo (0.500, 0.500, 0.250)